{"formula": "FeBN2F", "functional": "PBE+U", "state": "relaxed", "lattice": [[-0.717, -0.743, 2.962], [-0.166, -3.029, -0.800], [4.421, -0.493, 0.947]], "species": ["B", "N", "F", "N", "Fe"], "frac_coords": [[0.000, 0.000, 0.000], [0.000, 0.500, 0.000], [0.000, 0.000, 0.500], [0.500, 0.000, 0.000], [0.500, 0.500, 0.500]], "dos_ef_per_ev_cell": 0.417, "de_polymorph_kj_per_mol_atoms": 0.00}